No. 1
{"formula": "Li2YIr2", "functional": "PBE", "state": "optimized geometry", "dos_at_fermi_per_ev_fu": 2.2, "final_energy_ev_per_atom": -5.813, "volume_a3_per_cell": 80.2, "e_form_ev_per_fu": -1.053, "polymorph_energy_kj_per_mol_atoms": 0.00, "cell": [[-2.1881, 2.1881, 4.1882], [2.1881, -2.1881, 4.1882], [2.1881, 2.1881, -4.1882]], "species": ["Li", "Li", "Y", "Ir", "Ir"], "frac_coords": [[0.1282, 0.1282, 0.0000], [0.8718, 0.8718, 0.0000], [0.5000, 0.5000, 0.0000], [0.2500, 0.7500, 0.5000], [0.7500, 0.2500, 0.5000]]}

***

No. 2
{"formula": "Li2Y2Ir", "functional": "PBE", "state": "optimized geometry", "dos_at_fermi_per_ev_fu": 3.0, "final_energy_ev_per_atom": -5.180, "volume_a3_per_cell": 197.4, "e_form_ev_per_fu": -0.285, "polymorph_energy_kj_per_mol_atoms": 16.28, "cell": [[6.8779, 0.0000, 0.0000], [0.0000, 6.8779, 0.0000], [0.0000, 0.0000, 4.1724]], "species": ["Li", "Li", "Li", "Li", "Y", "Y", "Y", "Y", "Ir", "Ir"], "frac_coords": [[0.1153, 0.3847, 0.0000], [0.3847, 0.8847, 0.0000], [0.6153, 0.1153, 0.0000], [0.8847, 0.6153, 0.0000], [0.2069, 0.7069, 0.5000], [0.2931, 0.2069, 0.5000], [0.7069, 0.7931, 0.5000], [0.7931, 0.2931, 0.5000], [0.0000, 0.0000, 0.0000], [0.5000, 0.5000, 0.0000]]}

***

No. 3
{"formula": "Li3YIr", "functional": "PBE", "state": "optimized geometry", "dos_at_fermi_per_ev_fu": 5.0, "final_energy_ev_per_atom": -2.599, "volume_a3_per_cell": 88.6, "e_form_ev_per_fu": 8.071, "polymorph_energy_kj_per_mol_atoms": 132.52, "cell": [[4.4574, 0.0000, 0.0000], [0.0000, 4.4574, 0.0000], [0.0000, 0.0000, 4.4574]], "species": ["Li", "Li", "Li", "Y", "Ir"], "frac_coords": [[0.0000, 0.0000, 0.5000], [0.0000, 0.5000, 0.0000], [0.5000, 0.0000, 0.0000], [0.0000, 0.0000, 0.0000], [0.5000, 0.5000, 0.5000]]}

***

No. 4
{"formula": "Li2YIr", "functional": "PBE", "state": "optimized geometry", "dos_at_fermi_per_ev_fu": 2.1, "final_energy_ev_per_atom": -5.033, "volume_a3_per_cell": 74.8, "e_form_ev_per_fu": -0.978, "polymorph_energy_kj_per_mol_atoms": 5.34, "cell": [[3.9668, 0.0000, 0.0000], [0.0000, 3.9668, 0.0000], [0.0000, 0.0000, 4.7511]], "species": ["Li", "Li", "Y", "Ir"], "frac_coords": [[0.0000, 0.5000, 0.0000], [0.5000, 0.0000, 0.0000], [0.0000, 0.0000, 0.5000], [0.5000, 0.5000, 0.5000]]}

***

No. 5
{"formula": "Li2YIr2", "functional": "PBE", "state": "optimized geometry", "dos_at_fermi_per_ev_fu": 3.5, "final_energy_ev_per_atom": -5.762, "volume_a3_per_cell": 155.2, "e_form_ev_per_fu": -0.797, "polymorph_energy_kj_per_mol_atoms": 4.94, "cell": [[7.2016, 0.0000, 0.0000], [0.0000, 7.2016, 0.0000], [0.0000, 0.0000, 2.9932]], "species": ["Li", "Li", "Li", "Li", "Y", "Y", "Ir", "Ir", "Ir", "Ir"], "frac_coords": [[0.1101, 0.3899, 0.0000], [0.3899, 0.8899, 0.0000], [0.6101, 0.1101, 0.0000], [0.8899, 0.6101, 0.0000], [0.0000, 0.0000, 0.0000], [0.5000, 0.5000, 0.0000], [0.1856, 0.6856, 0.5000], [0.3144, 0.1856, 0.5000], [0.6856, 0.8144, 0.5000], [0.8144, 0.3144, 0.5000]]}

***

No. 6
{"formula": "LiYIr", "functional": "PBE", "state": "optimized geometry", "dos_at_fermi_per_ev_fu": 1.7, "final_energy_ev_per_atom": -5.929, "volume_a3_per_cell": 65.7, "e_form_ev_per_fu": -0.549, "polymorph_energy_kj_per_mol_atoms": 22.67, "cell": [[3.2136, 0.0000, 0.0000], [0.0000, 4.6118, 0.0000], [-0.0255, 0.0000, 4.4302]], "species": ["Li", "Y", "Ir"], "frac_coords": [[0.0000, 0.0000, 0.0000], [0.0000, 0.5000, 0.5000], [0.5000, 0.0000, 0.5000]]}

***

No. 7
{"formula": "Li2YIr", "functional": "PBE", "state": "optimized geometry", "dos_at_fermi_per_ev_fu": 2.3, "final_energy_ev_per_atom": -5.088, "volume_a3_per_cell": 70.9, "e_form_ev_per_fu": -1.200, "polymorph_energy_kj_per_mol_atoms": 0.00, "cell": [[-1.9329, 2.0535, 4.4657], [1.9329, -2.0535, 4.4657], [1.9329, 2.0535, -4.4657]], "species": ["Li", "Li", "Y", "Ir"], "frac_coords": [[0.2423, 0.2423, 0.0000], [0.7577, 0.7577, 0.0000], [0.5000, 0.0000, 0.5000], [0.0000, 0.5000, 0.5000]]}

***

No. 8
{"formula": "LiYIr", "functional": "PBE", "state": "optimized geometry", "dos_at_fermi_per_ev_fu": 2.8, "final_energy_ev_per_atom": -5.993, "volume_a3_per_cell": 66.8, "e_form_ev_per_fu": -0.740, "polymorph_energy_kj_per_mol_atoms": 16.53, "cell": [[0.0000, 3.2204, 3.2204], [3.2204, 0.0000, 3.2204], [3.2204, 3.2204, 0.0000]], "species": ["Li", "Y", "Ir"], "frac_coords": [[0.0000, 0.0000, 0.0000], [0.5000, 0.5000, 0.5000], [0.7500, 0.7500, 0.7500]]}

***

No. 9
{"formula": "LiY2Ir2", "functional": "PBE", "state": "optimized geometry", "dos_at_fermi_per_ev_fu": 2.8, "final_energy_ev_per_atom": -7.172, "volume_a3_per_cell": 101.1, "e_form_ev_per_fu": -3.294, "polymorph_energy_kj_per_mol_atoms": 0.00, "cell": [[-2.1065, 2.9376, 4.0831], [2.1065, -2.9376, 4.0831], [2.1065, 2.9376, -4.0831]], "species": ["Li", "Y", "Y", "Ir", "Ir"], "frac_coords": [[0.0000, 0.0000, 0.0000], [0.2929, 0.7929, 0.5000], [0.7071, 0.2071, 0.5000], [0.2744, 0.5000, 0.7744], [0.7256, 0.5000, 0.2256]]}

***

No. 10
{"formula": "LiYIr", "functional": "PBE", "state": "optimized geometry", "dos_at_fermi_per_ev_fu": 2.7, "final_energy_ev_per_atom": -6.082, "volume_a3_per_cell": 56.1, "e_form_ev_per_fu": -1.008, "polymorph_energy_kj_per_mol_atoms": 7.91, "cell": [[-1.7313, 1.7313, 4.6764], [1.7313, -1.7313, 4.6764], [1.7313, 1.7313, -4.6764]], "species": ["Li", "Y", "Ir"], "frac_coords": [[0.0000, 0.0000, 0.0000], [0.7065, 0.7065, 0.0000], [0.3716, 0.3716, 0.0000]]}

***

No. 11
{"formula": "Li2YIr2", "functional": "PBE", "state": "optimized geometry", "dos_at_fermi_per_ev_fu": 8.2, "final_energy_ev_per_atom": -5.708, "volume_a3_per_cell": 88.2, "e_form_ev_per_fu": -0.528, "polymorph_energy_kj_per_mol_atoms": 10.13, "cell": [[-1.9879, 1.9879, 5.5776], [1.9879, -1.9879, 5.5776], [1.9879, 1.9879, -5.5776]], "species": ["Li", "Li", "Y", "Ir", "Ir"], "frac_coords": [[0.2500, 0.7500, 0.5000], [0.7500, 0.2500, 0.5000], [0.0000, 0.0000, 0.0000], [0.3902, 0.3902, 0.0000], [0.6098, 0.6098, 0.0000]]}

***

No. 12
{"formula": "LiYIr", "functional": "PBE", "state": "optimized geometry", "dos_at_fermi_per_ev_fu": 2.5, "final_energy_ev_per_atom": -5.577, "volume_a3_per_cell": 68.1, "e_form_ev_per_fu": 0.507, "polymorph_energy_kj_per_mol_atoms": 56.63, "cell": [[0.0000, 3.2404, 3.2404], [3.2404, 0.0000, 3.2404], [3.2404, 3.2404, 0.0000]], "species": ["Li", "Y", "Ir"], "frac_coords": [[0.0000, 0.0000, 0.0000], [0.2500, 0.2500, 0.2500], [0.5000, 0.5000, 0.5000]]}

***

No. 13
{"formula": "LiY2Ir2", "functional": "PBE", "state": "optimized geometry", "dos_at_fermi_per_ev_fu": 2.5, "final_energy_ev_per_atom": -7.138, "volume_a3_per_cell": 203.9, "e_form_ev_per_fu": -3.128, "polymorph_energy_kj_per_mol_atoms": 3.21, "cell": [[5.0197, -2.6903, 0.0000], [5.0197, 2.6903, 0.0000], [-2.3527, 0.0000, 7.5481]], "species": ["Li", "Li", "Y", "Y", "Y", "Y", "Ir", "Ir", "Ir", "Ir"], "frac_coords": [[0.1393, 0.8607, 0.7500], [0.8607, 0.1393, 0.2500], [0.1997, 0.5087, 0.3513], [0.4913, 0.8003, 0.1487], [0.5087, 0.1997, 0.8513], [0.8003, 0.4913, 0.6487], [0.0158, 0.7149, 0.9893], [0.2851, 0.9842, 0.5107], [0.7149, 0.0158, 0.4893], [0.9842, 0.2851, 0.0107]]}

***

No. 14
{"formula": "LiY4Ir", "functional": "PBE", "state": "optimized geometry", "dos_at_fermi_per_ev_fu": 7.5, "final_energy_ev_per_atom": -6.173, "volume_a3_per_cell": 371.8, "e_form_ev_per_fu": -0.408, "polymorph_energy_kj_per_mol_atoms": 0.00, "cell": [[-5.0067, 5.0067, 3.7080], [5.0067, -5.0067, 3.7080], [5.0067, 5.0067, -3.7080]], "species": ["Li", "Li", "Y", "Y", "Y", "Y", "Y", "Y", "Y", "Y", "Ir", "Ir"], "frac_coords": [[0.0000, 0.0000, 0.0000], [0.7500, 0.2500, 0.5000], [0.0543, 0.8186, 0.2357], [0.0799, 0.3897, 0.3098], [0.0799, 0.7700, 0.6902], [0.1397, 0.3299, 0.8098], [0.5200, 0.3299, 0.1902], [0.5686, 0.3043, 0.7357], [0.5686, 0.8329, 0.2643], [0.5829, 0.8186, 0.7643], [0.3545, 0.8545, 0.5000], [0.6045, 0.6045, 0.0000]]}

***

No. 15
{"formula": "Li2YIr", "functional": "PBE", "state": "optimized geometry", "dos_at_fermi_per_ev_fu": 2.0, "final_energy_ev_per_atom": -5.028, "volume_a3_per_cell": 78.8, "e_form_ev_per_fu": -0.959, "polymorph_energy_kj_per_mol_atoms": 5.82, "cell": [[3.2843, 0.0000, 0.0000], [0.0000, 3.5249, 0.0000], [0.0000, 0.0000, 6.8096]], "species": ["Li", "Li", "Y", "Ir"], "frac_coords": [[0.0000, 0.0000, 0.0000], [0.5000, 0.5000, 0.2006], [0.5000, 0.5000, 0.6218], [0.0000, 0.0000, 0.3999]]}

***

No. 16
{"formula": "Li2YIr3", "functional": "PBE", "state": "optimized geometry", "dos_at_fermi_per_ev_fu": 6.2, "final_energy_ev_per_atom": -6.453, "volume_a3_per_cell": 193.9, "e_form_ev_per_fu": -1.843, "cell": [[-4.0697, 4.5530, 2.6157], [4.0697, -4.5530, 2.6157], [4.0697, 4.5530, -2.6157]], "species": ["Li", "Li", "Li", "Li", "Y", "Y", "Ir", "Ir", "Ir", "Ir", "Ir", "Ir"], "frac_coords": [[0.3126, 0.2290, 0.0836], [0.3545, 0.7710, 0.5836], [0.6455, 0.2290, 0.4164], [0.6874, 0.7710, 0.9164], [0.0215, 0.2715, 0.7500], [0.9785, 0.7285, 0.2500], [0.0000, 0.2588, 0.2588], [0.0000, 0.7412, 0.7412], [0.5000, 0.0000, 0.0000], [0.5000, 0.2588, 0.7588], [0.5000, 0.5000, 0.5000], [0.5000, 0.7412, 0.2412]]}

***

No. 17
{"formula": "LiYIr3", "functional": "PBE", "state": "optimized geometry", "dos_at_fermi_per_ev_fu": 7.4, "final_energy_ev_per_atom": -5.258, "volume_a3_per_cell": 128.5, "e_form_ev_per_fu": 8.669, "polymorph_energy_kj_per_mol_atoms": 158.18, "cell": [[5.0456, 0.0000, 0.0000], [0.0000, 5.0456, 0.0000], [0.0000, 0.0000, 5.0456]], "species": ["Li", "Y", "Ir", "Ir", "Ir"], "frac_coords": [[0.0000, 0.0000, 0.0000], [0.5000, 0.5000, 0.5000], [0.0000, 0.5000, 0.5000], [0.5000, 0.0000, 0.5000], [0.5000, 0.5000, 0.0000]]}

***

No. 18
{"formula": "Li3YIr", "functional": "PBE", "state": "optimized geometry", "dos_at_fermi_per_ev_fu": 2.5, "final_energy_ev_per_atom": -3.972, "volume_a3_per_cell": 97.9, "e_form_ev_per_fu": 1.204, "polymorph_energy_kj_per_mol_atoms": 0.00, "cell": [[4.6085, 0.0000, 0.0000], [0.0000, 4.6085, 0.0000], [0.0000, 0.0000, 4.6085]], "species": ["Li", "Li", "Li", "Y", "Ir"], "frac_coords": [[0.0000, 0.0000, 0.5000], [0.0000, 0.5000, 0.0000], [0.5000, 0.0000, 0.0000], [0.5000, 0.5000, 0.5000], [0.0000, 0.0000, 0.0000]]}

***

No. 19
{"formula": "LiYZr2Ir", "functional": "PBE", "state": "optimized geometry", "dos_at_fermi_per_ev_fu": 6.8, "final_energy_ev_per_atom": -6.482, "volume_a3_per_cell": 101.9, "e_form_ev_per_fu": 1.928, "cell": [[4.8106, 0.0000, 0.0000], [0.0000, 4.8106, 0.0000], [0.0000, 0.0000, 4.4025]], "species": ["Li", "Y", "Zr", "Zr", "Ir"], "frac_coords": [[0.0000, 0.0000, 0.0000], [0.5000, 0.5000, 0.5000], [0.0000, 0.5000, 0.0000], [0.5000, 0.0000, 0.0000], [0.0000, 0.0000, 0.5000]]}

***

No. 20
{"formula": "LiYb2Ir", "functional": "PBE", "state": "optimized geometry", "dos_at_fermi_per_ev_fu": 0.0, "final_energy_ev_per_atom": -3.818, "volume_a3_per_cell": 83.6, "e_form_ev_per_fu": -1.444, "cell": [[0.0000, 3.4709, 3.4709], [3.4709, 0.0000, 3.4709], [3.4709, 3.4709, 0.0000]], "species": ["Li", "Yb", "Yb", "Ir"], "frac_coords": [[0.0000, 0.0000, 0.0000], [0.2500, 0.2500, 0.2500], [0.7500, 0.7500, 0.7500], [0.5000, 0.5000, 0.5000]]}

***

No. 21
{"formula": "LiZn2Ir", "functional": "PBE", "state": "optimized geometry", "dos_at_fermi_per_ev_fu": 2.4, "final_energy_ev_per_atom": -3.505, "volume_a3_per_cell": 56.6, "e_form_ev_per_fu": -0.698, "polymorph_energy_kj_per_mol_atoms": 15.65, "cell": [[4.3726, -1.3531, 0.0000], [4.3726, 1.3531, 0.0000], [-0.6579, 0.0000, 4.7823]], "species": ["Li", "Zn", "Zn", "Ir"], "frac_coords": [[0.0000, 0.0000, 0.0000], [0.2417, 0.2417, 0.7466], [0.7583, 0.7583, 0.2534], [0.5000, 0.5000, 0.5000]]}

***

No. 22
{"formula": "Li7Zn2Ir2", "functional": "PBE", "state": "optimized geometry", "dos_at_fermi_per_ev_fu": 4.6, "final_energy_ev_per_atom": -3.193, "volume_a3_per_cell": 169.9, "e_form_ev_per_fu": -1.452, "cell": [[3.4666, -3.8534, 0.0000], [3.4666, 3.8534, 0.0000], [-1.5035, 0.0000, 6.3582]], "species": ["Li", "Li", "Li", "Li", "Li", "Li", "Li", "Zn", "Zn", "Ir", "Ir"], "frac_coords": [[0.0000, 0.0000, 0.0000], [0.0764, 0.4827, 0.8188], [0.1691, 0.1691, 0.4274], [0.4827, 0.0764, 0.8188], [0.5173, 0.9236, 0.1812], [0.8309, 0.8309, 0.5726], [0.9236, 0.5173, 0.1812], [0.3187, 0.6813, 0.5000], [0.6813, 0.3187, 0.5000], [0.4210, 0.4210, 0.1600], [0.5790, 0.5790, 0.8400]]}

***

No. 23
{"formula": "LiZn6Ir", "functional": "PBE", "state": "optimized geometry", "dos_at_fermi_per_ev_fu": 2.9, "final_energy_ev_per_atom": -2.487, "volume_a3_per_cell": 113.3, "e_form_ev_per_fu": -1.481, "polymorph_energy_kj_per_mol_atoms": 0.00, "cell": [[3.3809, -4.0815, 0.0000], [3.3809, 4.0815, 0.0000], [0.0000, 0.0000, 4.1046]], "species": ["Li", "Zn", "Zn", "Zn", "Zn", "Zn", "Zn", "Ir"], "frac_coords": [[0.0000, 0.0000, 0.0000], [0.0000, 0.5000, 0.0000], [0.2333, 0.2333, 0.5000], [0.2680, 0.7320, 0.5000], [0.5000, 0.0000, 0.0000], [0.7320, 0.2680, 0.5000], [0.7667, 0.7667, 0.5000], [0.5000, 0.5000, 0.0000]]}

***

No. 24
{"formula": "LiZn2Ir", "functional": "PBE", "state": "optimized geometry", "dos_at_fermi_per_ev_fu": 1.3, "final_energy_ev_per_atom": -3.523, "volume_a3_per_cell": 56.0, "e_form_ev_per_fu": -0.771, "polymorph_energy_kj_per_mol_atoms": 13.90, "cell": [[4.3611, 0.0000, 0.0000], [0.0000, 2.9344, 0.0000], [-1.4885, 0.0000, 4.3756]], "species": ["Li", "Zn", "Zn", "Ir"], "frac_coords": [[0.0000, 0.0000, 0.0000], [0.5000, 0.0000, 0.5000], [0.5000, 0.5000, 0.0000], [0.0000, 0.5000, 0.5000]]}

***

No. 25
{"formula": "Li2ZnIr", "functional": "PBE", "state": "optimized geometry", "dos_at_fermi_per_ev_fu": 1.4, "final_energy_ev_per_atom": -3.665, "volume_a3_per_cell": 56.4, "e_form_ev_per_fu": -0.697, "cell": [[2.5996, 0.0000, 0.0000], [0.0000, 4.0755, 0.0000], [0.0000, 0.0000, 5.3267]], "species": ["Li", "Li", "Zn", "Ir"], "frac_coords": [[0.0000, 0.0000, 0.0000], [0.5000, 0.5000, 0.2608], [0.0000, 0.0000, 0.5284], [0.5000, 0.5000, 0.7570]]}

***

No. 26
{"formula": "LiZnIr", "functional": "PBE", "state": "optimized geometry", "dos_at_fermi_per_ev_fu": 1.2, "final_energy_ev_per_atom": -4.236, "volume_a3_per_cell": 82.7, "e_form_ev_per_fu": -0.659, "polymorph_energy_kj_per_mol_atoms": 0.00, "cell": [[4.4197, 0.0000, 0.0000], [0.0000, 2.3632, 3.9583], [0.0000, -2.3632, 3.9583]], "species": ["Li", "Li", "Zn", "Zn", "Ir", "Ir"], "frac_coords": [[0.2500, 0.1466, 0.8534], [0.7500, 0.8534, 0.1466], [0.2500, 0.4714, 0.1845], [0.7500, 0.1845, 0.4714], [0.2500, 0.8075, 0.5312], [0.7500, 0.5312, 0.8075]]}

***

No. 27
{"formula": "LiZn2Ir", "functional": "PBE", "state": "optimized geometry", "dos_at_fermi_per_ev_fu": 2.3, "final_energy_ev_per_atom": -3.380, "volume_a3_per_cell": 58.6, "e_form_ev_per_fu": -0.199, "polymorph_energy_kj_per_mol_atoms": 27.68, "cell": [[2.7428, 0.0000, 0.0000], [0.0000, 2.7428, 0.0000], [0.0000, 0.0000, 7.7882]], "species": ["Li", "Zn", "Zn", "Ir"], "frac_coords": [[0.0000, 0.0000, 0.0000], [0.0000, 0.0000, 0.5279], [0.5000, 0.5000, 0.2658], [0.5000, 0.5000, 0.7598]]}

***

No. 28
{"formula": "LiZnIr", "functional": "PBE", "state": "optimized geometry", "dos_at_fermi_per_ev_fu": 2.1, "final_energy_ev_per_atom": -4.197, "volume_a3_per_cell": 83.7, "e_form_ev_per_fu": -0.541, "polymorph_energy_kj_per_mol_atoms": 3.79, "cell": [[5.0082, -1.3262, 0.0000], [5.0082, 1.3262, 0.0000], [-3.9228, 0.0000, 6.2985]], "species": ["Li", "Li", "Zn", "Zn", "Ir", "Ir"], "frac_coords": [[0.1204, 0.1204, 0.1677], [0.8796, 0.8796, 0.8323], [0.3831, 0.3831, 0.5204], [0.6169, 0.6169, 0.4796], [0.1446, 0.1446, 0.8302], [0.8554, 0.8554, 0.1698]]}